[1]
Entry from Alexandria: a relaxed structure of CePrHoPb (PBE).

Output
Uncorrected energy   -4.8170 eV/atom
Space-group type   No. 216
Energy relative to the elements   -0.067 eV per atom

```
data_CePrHoPb
_chemical_formula_sum 'Ce1 Pr1 Ho1 Pb1'
_cell_length_a 5.519
_cell_length_b 5.519
_cell_length_c 5.519
_cell_angle_alpha 60.00
_cell_angle_beta 60.00
_cell_angle_gamma 60.00
_space_group_name_H-M_alt 'P 1'
_space_group_IT_number 1
loop_
_space_group_symop_operation_xyz
'x,y,z'
loop_
_atom_site_label
_atom_site_type_symbol
_atom_site_fract_x
_atom_site_fract_y
_atom_site_fract_z
_atom_site_occupancy
Pb1 Pb 0.250 0.250 0.250 1
Pr1 Pr 0.500 0.500 0.500 1
Ho1 Ho 0.000 0.000 0.000 1
Ce1 Ce 0.750 0.750 0.750 1
```

---

[2]
Entry from Alexandria: a relaxed structure of CeHoSnPb (PBE).

Output
Uncorrected energy   -4.9992 eV/atom
Space-group type   No. 216
Energy relative to the elements   -0.443 eV per atom

```
data_CeHoSnPb
_chemical_formula_sum 'Ce1 Ho1 Sn1 Pb1'
_cell_length_a 5.439
_cell_length_b 5.439
_cell_length_c 5.439
_cell_angle_alpha 60.00
_cell_angle_beta 60.00
_cell_angle_gamma 60.00
_space_group_name_H-M_alt 'P 1'
_space_group_IT_number 1
loop_
_space_group_symop_operation_xyz
'x,y,z'
loop_
_atom_site_label
_atom_site_type_symbol
_atom_site_fract_x
_atom_site_fract_y
_atom_site_fract_z
_atom_site_occupancy
Pb1 Pb 0.750 0.750 0.750 1
Ho1 Ho 0.000 0.000 0.000 1
Ce1 Ce 0.500 0.500 0.500 1
Sn1 Sn 0.250 0.250 0.250 1
```

---

[3]
Entry from Alexandria: a relaxed structure of TbCeHoPb (PBE).

Output
Uncorrected energy   -4.7643 eV/atom
Space-group type   No. 216
Energy relative to the elements   -0.052 eV per atom

```
data_TbCeHoPb
_chemical_formula_sum 'Tb1 Ce1 Ho1 Pb1'
_cell_length_a 5.439
_cell_length_b 5.439
_cell_length_c 5.439
_cell_angle_alpha 60.00
_cell_angle_beta 60.00
_cell_angle_gamma 60.00
_space_group_name_H-M_alt 'P 1'
_space_group_IT_number 1
loop_
_space_group_symop_operation_xyz
'x,y,z'
loop_
_atom_site_label
_atom_site_type_symbol
_atom_site_fract_x
_atom_site_fract_y
_atom_site_fract_z
_atom_site_occupancy
Pb1 Pb 0.250 0.250 0.250 1
Tb1 Tb 0.000 0.000 0.000 1
Ho1 Ho 0.500 0.500 0.500 1
Ce1 Ce 0.750 0.750 0.750 1
```